# La3CuSi3, optimized geometry, DFT GGA-PBE
# Spin magnetization (Bohr magnetons per cell): 0.488
# Formation energy from raw total energies (kJ per mole of atoms): -65.7
data_La3CuSi3
_chemical_formula_sum 'La6 Cu2 Si6'
_space_group_name_H-M_alt 'I m m 2'
_space_group_IT_number 44
_space_group_name_Hall 'I 2 -2'
_cell_length_a 4.080
_cell_length_b 4.419
_cell_length_c 18.537
_cell_angle_alpha 90.00
_cell_angle_beta 90.00
_cell_angle_gamma 90.00
loop_
_atom_site_label
_atom_site_type_symbol
_atom_site_fract_x
_atom_site_fract_y
_atom_site_fract_z
La1 La 0.000 0.000 0.000
La2 La 0.000 0.000 0.367
La3 La 0.000 0.500 0.685
Cu1 Cu 0.000 0.500 0.117
Si1 Si 0.000 0.000 0.550
Si2 Si 0.000 0.000 0.820
Si3 Si 0.000 0.500 0.243